The following is a PBEsol calculation of P2Se after structural relaxation, from the Alexandria database.

abc: 3.1430 3.1430 11.4013
angles: 90.00 90.00 90.00
Space group I4/mmm (No. 139)
Asymmetric unit:
P 0.0000 0.0000 0.2210
Se 0.0000 0.0000 0.0000

The calculation puts the energy relative to the lowest polymorph listed for this composition at 0 kJ/mol of formula units. The value obtained for the formation energy from raw total energies is 219 meV/atom. The total DFT energy (no corrections) comes out at -29.6 eV/cell. Its theoretical density is 4.16 g cm⁻³. The density of states at the Fermi level comes out at 2.13 states/eV/cell.



The following is a PBEsol calculation of Si2PSe after structural relaxation, from the Alexandria database.

abc: 3.4215 3.4215 12.8836
angles: 90.00 90.00 90.00
Space group I-4m2 (No. 119)
Asymmetric unit:
Si 0.0000 0.0000 0.0000
Si 0.0000 0.5000 0.2500
P 0.0000 0.0000 0.5000
Se 0.0000 0.5000 0.7500

The calculation puts the energy relative to the lowest polymorph listed for this composition at 0 kJ/mol of formula units. The value obtained for the formation energy from raw total energies is 447 meV/atom. The total DFT energy (no corrections) comes out at -38.7 eV/cell. Its theoretical density is 3.66 g cm⁻³. The density of states at the Fermi level comes out at 3.33 states/eV/cell.



The following is a PBEsol calculation of Si2PSe after structural relaxation, from the Alexandria database.

abc: 3.1047 4.4541 4.5628
angles: 90.00 90.00 90.00
Space group Pmmm (No. 47)
Asymmetric unit:
Si 0.0000 0.0000 0.0000
Si 0.5000 0.5000 0.0000
P 0.0000 0.5000 0.5000
Se 0.5000 0.0000 0.5000

The calculation puts the energy relative to the lowest polymorph listed for this composition at 12 kJ/mol of formula units. The value obtained for the formation energy from raw total energies is 477 meV/atom. The total DFT energy (no corrections) comes out at -19.2 eV/cell. Its theoretical density is 4.37 g cm⁻³. The density of states at the Fermi level comes out at 1.67 states/eV/cell.



The following is a PBEsol calculation of Si60Te13P32Se3 after structural relaxation, from the Alexandria database.

abc: 9.9311 9.9312 19.8602
angles: 90.00 90.00 90.00
Space group Pmmm (No. 47)
Asymmetric unit:
Si 0.0000 0.0000 0.1249
Si 0.0000 0.0000 0.3742
Si 0.0000 0.1920 0.1912
Si 0.0000 0.1921 0.3080
Si 0.1168 0.5000 0.0957
Si 0.1167 0.5000 0.4037
Si 0.1909 0.0000 0.4414
Si 0.1919 0.0000 0.0584
Si 0.2485 0.5000 0.5000
Si 0.2503 0.5000 0.0000
Si 0.3080 0.3832 0.2496
Si 0.3832 0.3081 0.0000
Si 0.3828 0.3092 0.5000
Si 0.5000 0.1169 0.1540
Si 0.5000 0.1171 0.3453
Si 0.5000 0.2506 0.2496
Te 0.0000 0.2499 0.0000
Te 0.0000 0.2499 0.5000
Te 0.2502 0.0000 0.2497
Te 0.5000 0.0000 0.5000
Te 0.5000 0.5000 0.1248
Te 0.5000 0.5000 0.3750
P 0.1841 0.3159 0.1576
P 0.1838 0.3163 0.3415
P 0.3154 0.1847 0.4076
P 0.3159 0.1841 0.0920
Se 0.0000 0.5000 0.2495
Se 0.5000 0.0000 0.0000

The value obtained for the formation energy from raw total energies is -146 meV/atom. The total DFT energy (no corrections) comes out at -603.2 eV/cell. Its theoretical density is 3.88 g cm⁻³.



The following is a PBEsol calculation of SmTlP2Se6 after structural relaxation, from the Alexandria database.

abc: 6.7279 7.5345 10.0423
angles: 90.00 90.70 90.00
Space group P2_1 (No. 4)
Asymmetric unit:
Sm 0.2111 0.0000 0.0020
Tl 0.3141 0.2166 0.5084
P 0.1891 0.7243 0.3023
P 0.3119 0.5037 0.1786
Se 0.0705 0.3034 0.1788
Se 0.0765 0.3088 0.8196
Se 0.1507 0.6258 0.5007
Se 0.3643 0.6279 0.9798
Se 0.4062 0.9352 0.2717
Se 0.4074 0.9059 0.7377

The value obtained for the formation energy from raw total energies is -630 meV/atom. The total DFT energy (no corrections) comes out at -97.4 eV/cell. Its theoretical density is 5.81 g cm⁻³.



The following is a PBEsol calculation of SnPSe3 after structural relaxation, from the Alexandria database.

abc: 6.8130 7.6271 11.4608
angles: 90.00 124.92 90.00
Space group Pc (No. 7)
Asymmetric unit:
Sn 0.0000 0.1329 0.0000
Sn 0.4121 0.3671 0.4737
P 0.0758 0.3567 0.6705
P 0.3357 0.1436 0.8018
Se 0.0946 0.0591 0.2914
Se 0.3174 0.4409 0.1810
Se 0.4900 0.0476 0.6894
Se 0.5935 0.2629 0.0122
Se 0.8180 0.2372 0.4603
Se 0.9214 0.4527 0.7829

The value obtained for the formation energy from raw total energies is -240 meV/atom. The total DFT energy (no corrections) comes out at -91.2 eV/cell. Its theoretical density is 5.26 g cm⁻³.



The following is a PBEsol calculation of SrPSe2 after structural relaxation, from the Alexandria database.

abc: 3.8430 3.8430 25.9088
angles: 90.00 90.00 120.00
Space group R-3m (No. 166, hexagonal axes)
Asymmetric unit:
Sr 0.0000 0.0000 0.0000
P 0.0000 0.0000 0.5000
Se 0.0000 0.0000 0.1140

The value obtained for the formation energy from raw total energies is -206 meV/atom. The total DFT energy (no corrections) comes out at -48.5 eV/cell. Its theoretical density is 4.16 g cm⁻³. The density of states at the Fermi level comes out at 3.85 states/eV/cell.



The following is a PBEsol calculation of Sr2PSe after structural relaxation, from the Alexandria database.

abc: 4.2842 4.2842 11.6650
angles: 90.00 90.00 90.00
Space group I-4m2 (No. 119)
Asymmetric unit:
Sr 0.0000 0.0000 0.0000
Sr 0.0000 0.5000 0.2500
P 0.0000 0.5000 0.7500
Se 0.0000 0.0000 0.5000

The calculation puts the energy relative to the lowest polymorph listed for this composition at 97 kJ/mol of formula units. The value obtained for the formation energy from raw total energies is -1077 meV/atom. The total DFT energy (no corrections) comes out at -35.3 eV/cell. Its theoretical density is 4.42 g cm⁻³. The density of states at the Fermi level comes out at 5.02 states/eV/cell.



The following is a PBEsol calculation of Sr2PSe after structural relaxation, from the Alexandria database.

abc: 7.4445 7.4445 7.4445
angles: 90.00 90.00 90.00
Space group Fm-3m (No. 225)
Asymmetric unit:
Sr 0.2500 0.2500 0.2500
P 0.0000 0.0000 0.0000
Se 0.0000 0.0000 0.5000

The calculation puts the energy relative to the lowest polymorph listed for this composition at 57 kJ/mol of formula units. The value obtained for the formation energy from raw total energies is -1181 meV/atom. The total DFT energy (no corrections) comes out at -72.2 eV/cell. Its theoretical density is 4.59 g cm⁻³. The density of states at the Fermi level comes out at 20.84 states/eV/cell.



The following is a PBEsol calculation of Sr2PSe after structural relaxation, from the Alexandria database.

abc: 7.3436 7.3436 7.3436
angles: 90.00 90.00 90.00
Space group F-43m (No. 216)
Asymmetric unit:
Sr 0.0000 0.0000 0.0000
Sr 0.2500 0.2500 0.2500
P 0.0000 0.0000 0.5000
Se 0.2500 0.2500 0.7500

The calculation puts the energy relative to the lowest polymorph listed for this composition at 336 kJ/mol of formula units. The value obtained for the formation energy from raw total energies is -457 meV/atom. The total DFT energy (no corrections) comes out at -60.6 eV/cell. Its theoretical density is 4.78 g cm⁻³. The density of states at the Fermi level comes out at 17.06 states/eV/cell.



The following is a PBEsol calculation of Sr2PSe after structural relaxation, from the Alexandria database.

abc: 4.2527 4.2527 22.4894
angles: 90.00 90.00 120.00
Space group R-3m (No. 166, hexagonal axes)
Asymmetric unit:
Sr 0.0000 0.0000 0.2487
P 0.0000 0.0000 0.0000
Se 0.0000 0.0000 0.5000

The calculation puts the energy relative to the lowest polymorph listed for this composition at 0 kJ/mol of formula units. The value obtained for the formation energy from raw total energies is -1329 meV/atom. The total DFT energy (no corrections) comes out at -55.9 eV/cell. Its theoretical density is 4.03 g cm⁻³. The density of states at the Fermi level comes out at 8.03 states/eV/cell.



The following is a PBEsol calculation of Ta2PSe after structural relaxation, from the Alexandria database.

abc: 8.9424 3.1982 4.5832
angles: 90.00 104.34 90.00
Space group Cm (No. 8)
Asymmetric unit:
Ta 0.0000 0.0000 0.0000
Ta 0.2310 0.0000 0.6194
P 0.0036 0.5000 0.5168
Se 0.2370 0.5000 0.1454

The value obtained for the formation energy from raw total energies is -513 meV/atom. The total DFT energy (no corrections) comes out at -73.6 eV/cell. Its theoretical density is 12.34 g cm⁻³. The density of states at the Fermi level comes out at 5.08 states/eV/cell.



- Which of these has the highest theoretical density?
  Ta2PSe